Entry 1:
ZnTcAs4: relaxed, GGA-PBE.

a b c (Å): 5.4465 5.4465 5.4465
angles (deg): 60.00 60.00 60.00
Fractional coordinates of all 6 atoms:
Tc: 0.7500 0.7500 0.7500
As: 0.3746 0.3746 0.3746
As: 0.3746 0.8763 0.3746
As: 0.8763 0.3746 0.3746
As: 0.3746 0.3746 0.8763
Zn: 0.0000 0.0000 0.0000

## Properties
The calculation puts the calculated volume at 19.0 A^3/atom. The calculated total energy is -4.260 eV per atom. Its space group is No. 216. Its crystal system is cubic. As for the formation energy: 0.78 eV per atom.


Entry 2:
Tb2NpPt9: relaxed, GGA-PBE.

a b c (Å): 4.1407 4.1407 12.3766
angles (deg): 90.00 90.00 90.00
Fractional coordinates of all 12 atoms:
Tb: 0.0000 0.0000 0.3357
Tb: 0.0000 0.0000 0.6643
Pt: 0.5000 0.0000 0.1638
Pt: 0.0000 0.5000 0.8362
Pt: 0.0000 0.5000 0.5000
Pt: 0.5000 0.5000 0.0000
Pt: 0.5000 0.0000 0.5000
Pt: 0.5000 0.5000 0.6670
Pt: 0.5000 0.5000 0.3330
Pt: 0.0000 0.5000 0.1638
Pt: 0.5000 0.0000 0.8362
Np: 0.0000 0.0000 0.0000

## Properties
The calculation puts the calculated volume at 17.7 A^3/atom. The calculated total energy is -7.279 eV per atom. Its space group is No. 123. Its crystal system is tetragonal. As for the formation energy: -0.90 eV per atom.


Entry 3:
DyPuGaPd: relaxed, GGA-PBE.

a b c (Å): 5.0348 5.0348 5.0348
angles (deg): 60.00 60.00 60.00
Fractional coordinates of all 4 atoms:
Pu: 0.5000 0.5000 0.5000
Dy: 0.0000 0.0000 0.0000
Ga: 0.7500 0.7500 0.7500
Pd: 0.2500 0.2500 0.2500

## Properties
The calculation puts the calculated volume at 22.6 A^3/atom. The calculated total energy is -7.251 eV per atom. Its space group is No. 216. Its crystal system is cubic. As for the formation energy: -0.46 eV per atom.